A plane-wave DFT calculation with PBE+U was carried out for a relaxed CsTlMoF6 crystal. Values from VASP.

Summary:
Total energy ... -4.92 eV per atom
Calculated volume ... 179.7 Å³/cell
Density of states at the Fermi level ... 0.000 states/eV/atom

```
&SYSTEM
  ibrav = 0, nat = 9, ntyp = 4
/
ATOMIC_SPECIES
Cs 132.91 Cs.upf
Tl 204.38 Tl.upf
Mo 95.94 Mo.upf
F 19.00 F.upf
CELL_PARAMETERS angstrom
-6.291 1.289 -0.260
-3.435 -2.142 -4.771
-0.999 -4.269 2.723
ATOMIC_POSITIONS crystal
Cs 0.991 0.013 0.124
Tl 0.679 0.681 0.670
Mo 0.333 0.331 0.457
F 0.009 0.512 0.268
F 0.193 0.162 0.655
F 0.654 0.143 0.648
F 0.194 0.614 0.704
F 0.475 0.499 0.260
F 0.470 0.044 0.214
```